[1]
Al2FeCo | GGA-PBEsol | relaxed

Results
- E_tot: -25.62 eV per formula unit
- Magnetic moment: 0.626 μB/atom
- Theoretical density: 5.731 g cm⁻³

The structure in POSCAR format:
```
Al2FeCo
1.0
-0.260 2.576 0.658
-0.763 1.779 -1.842
-7.911 0.196 1.529
Al Fe Co
2 1 1
Direct
0.753 0.753 0.742
0.247 0.247 0.258
0.000 0.000 0.000
0.500 0.500 0.500
```

---

[2]
AlFeCo2 | GGA-PBEsol | relaxed

Results
- E_tot: -29.43 eV per formula unit
- Magnetic moment: 1.233 μB/atom
- Theoretical density: 7.484 g cm⁻³

The structure in POSCAR format:
```
AlFeCo2
1.0
-0.075 -2.682 -0.985
1.945 1.120 -3.198
2.521 0.010 3.924
Co Fe Al
2 1 1
Direct
0.248 0.748 0.496
0.998 0.998 0.996
0.505 0.505 0.010
0.749 0.249 0.498
```

---

[3]
AlFeCo2 | GGA-PBEsol | relaxed

Results
- E_tot: -29.75 eV per formula unit
- Magnetic moment: 1.205 μB/atom
- Theoretical density: 7.512 g cm⁻³

The structure in POSCAR format:
```
AlFeCo2
1.0
2.857 0.000 0.000
0.000 3.940 0.000
0.000 0.000 3.940
Fe Co Al
1 2 1
Direct
0.500 0.500 0.500
0.000 0.500 0.000
0.000 0.000 0.500
0.500 0.000 0.000
```

---

[4]
Al2FeCo | GGA-PBEsol | relaxed

Results
- E_tot: -26.84 eV per formula unit
- Magnetic moment: 0.126 μB/atom
- Theoretical density: 6.175 g cm⁻³

The structure in POSCAR format:
```
Al2FeCo
1.0
-0.968 0.858 -2.516
-2.655 -0.439 0.872
-0.253 5.331 1.917
Co Fe Al
1 1 2
Direct
0.000 0.000 0.500
0.000 0.000 0.000
0.500 0.500 0.751
0.500 0.500 0.249
```

---

[5]
AlFeCo2 | GGA-PBEsol | relaxed

Results
- E_tot: -28.55 eV per formula unit
- Magnetic moment: 1.055 μB/atom
- Theoretical density: 7.477 g cm⁻³

The structure in POSCAR format:
```
AlFeCo2
1.0
-0.119 1.126 -2.285
-2.265 0.492 -1.063
-0.897 7.634 2.387
Fe Co Al
1 2 1
Direct
0.498 0.498 0.505
0.749 0.749 0.752
0.002 0.002 0.995
0.251 0.251 0.248
```

---

[6]
Al2FeCo | GGA-PBEsol | relaxed

Results
- E_tot: -26.84 eV per formula unit
- Magnetic moment: 0.004 μB/atom
- Theoretical density: 6.197 g cm⁻³

The structure in POSCAR format:
```
Al2FeCo
1.0
3.999 0.000 0.000
1.999 3.463 0.000
1.999 1.154 3.265
Al Fe Co
2 1 1
Direct
0.750 0.750 0.750
0.250 0.250 0.250
0.500 0.500 0.500
0.000 0.000 0.000
```

---

[7]
AlFeCoOs2 | GGA-PBEsol | relaxed

Results
- E_tot: -37.94 eV per formula unit
- Magnetic moment: 0.478 μB/atom
- Theoretical density: 10.983 g cm⁻³

The structure in POSCAR format:
```
AlFeCoOs2
1.0
4.207 0.000 0.000
0.000 4.332 0.000
0.000 0.000 4.332
Fe Co Os Al
1 1 2 1
Direct
0.000 0.000 0.000
0.500 0.500 0.500
0.000 0.000 0.500
0.000 0.500 0.000
0.500 0.000 0.000
```

---

[8]
AlGaCo2 | GGA-PBEsol | relaxed

Results
- E_tot: -24.86 eV per formula unit
- Magnetic moment: 0.000 μB/atom
- Theoretical density: 7.869 g cm⁻³

The structure in POSCAR format:
```
AlGaCo2
1.0
-0.624 1.161 2.508
-1.946 -2.011 0.447
3.906 -3.231 2.468
Ga Al Co
1 1 2
Direct
0.000 0.000 0.500
0.000 0.000 0.000
0.500 0.500 0.251
0.500 0.500 0.749
```